1.
Be2PbCl at its PBEsol-relaxed geometry. Source: the Alexandria database, functional meta-GGA SCAN.

a = 6.7089 Å, b = 6.7089 Å, c = 6.7089 Å
α = 90.00°, β = 90.00°, γ = 90.00°
Last column: nearest neighbours and their distance in Å.
Space group F-43m (No. 216)
Unique sites:
1 Be 0.0000 0.0000 0.0000 x4  4 Pb 2.91, 4 Be 2.91
2 Be 0.2500 0.2500 0.2500 x4  4 Cl 2.91, 4 Be 2.91
3 Pb 0.2500 0.2500 0.7500 x4  4 Cl 2.91, 4 Be 2.91
4 Cl 0.0000 0.0000 0.5000 x4  4 Be 2.91, 4 Pb 2.91

## Properties
The value obtained for the density of states at the Fermi level is 0.980 states/eV per atom. The value obtained for the total energy is -355.0 eV for the cell shown. The value obtained for the total magnetization is 0.0 μB/cell. Its formation energy (no corrections) is 0.9272 eV/atom.

2.
BePdCl2 at its PBEsol-relaxed geometry. Source: the Alexandria database, functional meta-GGA SCAN.

a = 3.1401 Å, b = 3.1401 Å, c = 21.7237 Å
α = 90.00°, β = 90.00°, γ = 120.00°
Last column: nearest neighbours and their distance in Å.
Space group R-3m (No. 166, hexagonal axes)
Unique sites:
1 Be 0.0000 0.0000 0.0000 x3  6 Cl 2.21
2 Pd 0.0000 0.0000 0.5000 x3  2 Cl 2.35
3 Cl 0.0000 0.0000 0.3918 x6  3 Be 2.21, 1 Pd 2.35

## Properties
The value obtained for the total energy is -165.5 eV for the cell shown. The value obtained for the total magnetization is 0.0 μB/cell. Its formation energy (no corrections) is -0.5171 eV/atom.

3.
BePdCl2 at its PBEsol-relaxed geometry. Source: the Alexandria database, functional meta-GGA SCAN.

a = 5.4445 Å, b = 5.4445 Å, c = 9.2006 Å
α = 90.00°, β = 90.00°, γ = 90.00°
Last column: nearest neighbours and their distance in Å.
Space group I-42d (No. 122)
Unique sites:
1 Be 0.0000 0.0000 0.0000 x4  4 Cl 2.03
2 Pd 0.0000 0.0000 0.5000 x4  4 Cl 2.50
3 Cl 0.1787 0.7500 0.1250 x8  2 Be 2.03

## Properties
The value obtained for the total energy is -220.8 eV for the cell shown. The value obtained for the total magnetization is 0.0 μB/cell. Its formation energy (no corrections) is -0.5260 eV/atom.

4.
Be2ZnPtCl at its PBEsol-relaxed geometry. Source: the Alexandria database, functional meta-GGA SCAN.

a = 3.9292 Å, b = 3.9292 Å, c = 4.8022 Å
α = 90.00°, β = 90.00°, γ = 90.00°
Last column: nearest neighbours and their distance in Å.
Space group P4/mmm (No. 123)
Unique sites:
1 Be 0.0000 0.5000 0.0000 x2  2 Cl 1.96
2 Zn 0.0000 0.0000 0.5000 x1  4 Pt 2.78, 8 Be 3.10
3 Pt 0.5000 0.5000 0.5000 x1  2 Cl 2.40
4 Cl 0.5000 0.5000 0.0000 x1  4 Be 1.96

## Properties
The value obtained for the density of states at the Fermi level is 0.350 states/eV per atom. The value obtained for the total energy is -95.6 eV for the cell shown. The value obtained for the total magnetization is 0.0 μB/cell. Its formation energy (no corrections) is 0.9664 eV/atom.

5.
RbBeCl3 at its PBEsol-relaxed geometry. Source: the Alexandria database, functional meta-GGA SCAN.

a = 5.8576 Å, b = 5.8576 Å, c = 5.8576 Å
α = 90.00°, β = 90.00°, γ = 90.00°
Last column: nearest neighbours and their distance in Å.
Space group Pm-3m (No. 221)
Unique sites:
1 Rb 0.0000 0.0000 0.0000 x1  6 Cl 2.93
2 Be 0.5000 0.5000 0.5000 x1  12 Cl 4.14
3 Cl 0.0000 0.0000 0.5000 x3  2 Rb 2.93

## Properties
The value obtained for the density of states at the Fermi level is 1.138 states/eV per atom. The value obtained for the total energy is -48.3 eV for the cell shown. The value obtained for the total magnetization is 2.0 μB/cell. Its formation energy (no corrections) is 0.1533 eV/atom.

6.
Rb2BeSbCl at its PBEsol-relaxed geometry. Source: the Alexandria database, functional meta-GGA SCAN.

a = 7.0169 Å, b = 7.0169 Å, c = 5.3899 Å
α = 90.00°, β = 90.00°, γ = 90.00°
Last column: nearest neighbours and their distance in Å.
Space group P4/mmm (No. 123)
Unique sites:
1 Rb 0.0000 0.5000 0.0000 x2  2 Sb 3.51
2 Be 0.0000 0.0000 0.5000 x1  8 Rb 4.42
3 Sb 0.5000 0.5000 0.0000 x1  2 Cl 2.69
4 Cl 0.5000 0.5000 0.5000 x1  2 Sb 2.69

## Properties
The value obtained for the density of states at the Fermi level is 0.605 states/eV per atom. The value obtained for the total energy is -89.7 eV for the cell shown. The value obtained for the total magnetization is 0.2 μB/cell. Its formation energy (no corrections) is 0.2785 eV/atom.

7.
RbBe2SeCl at its PBEsol-relaxed geometry. Source: the Alexandria database, functional meta-GGA SCAN.

a = 4.3894 Å, b = 4.3894 Å, c = 7.9448 Å
α = 90.00°, β = 90.00°, γ = 90.00°
Last column: nearest neighbours and their distance in Å.
Space group P4/mmm (No. 123)
Unique sites:
1 Rb 0.0000 0.0000 0.0000 x1  4 Cl 3.10
2 Be 0.0000 0.5000 0.5000 x2  2 Se 2.19
3 Se 0.5000 0.5000 0.5000 x1  4 Be 2.19
4 Cl 0.5000 0.5000 0.0000 x1  4 Rb 3.10

## Properties
The value obtained for the density of states at the Fermi level is 0.215 states/eV per atom. The value obtained for the total energy is -58.2 eV for the cell shown. The value obtained for the total magnetization is 0.0 μB/cell. Its formation energy (no corrections) is -0.1385 eV/atom.

8.
BeRe2Cl at its PBEsol-relaxed geometry. Source: the Alexandria database, functional meta-GGA SCAN.

a = 5.1506 Å, b = 8.9114 Å, c = 2.9731 Å
α = 90.00°, β = 123.72°, γ = 90.00°
Last column: nearest neighbours and their distance in Å.
Space group C2/m (No. 12)
Unique sites:
1 Be 0.0000 0.0000 0.0000 x2  4 Cl 2.58-2.64, 4 Re 2.59
2 Re 0.2500 0.2500 0.5000 x4  4 Re 2.58-2.64, 2 Cl 2.59, 2 Be 2.59
3 Cl 0.0000 0.5000 0.0000 x2  4 Be 2.58-2.64, 4 Re 2.59

## Properties
The value obtained for the density of states at the Fermi level is 0.753 states/eV per atom. The value obtained for the total energy is -301.1 eV for the cell shown. The value obtained for the total magnetization is 0.0 μB/cell. Its formation energy (no corrections) is 0.9903 eV/atom.

9.
BeRe2Cl at its PBEsol-relaxed geometry. Source: the Alexandria database, functional meta-GGA SCAN.

a = 3.9187 Å, b = 3.9187 Å, c = 7.0785 Å
α = 90.00°, β = 90.00°, γ = 90.00°
Last column: nearest neighbours and their distance in Å.
Space group I-4m2 (No. 119)
Unique sites:
1 Be 0.0000 0.0000 0.0000 x2  4 Cl 2.64, 8 Re 2.64-2.77
2 Re 0.0000 0.0000 0.5000 x2  4 Cl 2.64, 4 Re 2.64, 4 Be 2.77
3 Re 0.0000 0.5000 0.2500 x2  4 Re 2.64, 4 Be 2.64, 4 Cl 2.77
4 Cl 0.0000 0.5000 0.7500 x2  8 Re 2.64-2.77, 4 Be 2.64

## Properties
The value obtained for the density of states at the Fermi level is 0.608 states/eV per atom. The value obtained for the total energy is -300.6 eV for the cell shown. The value obtained for the total magnetization is 0.0 μB/cell. Its formation energy (no corrections) is 1.0539 eV/atom.

10.
Be3ReCl at its PBEsol-relaxed geometry. Source: the Alexandria database, functional meta-GGA SCAN.

a = 4.3267 Å, b = 4.3267 Å, c = 4.3267 Å
α = 90.00°, β = 90.00°, γ = 90.00°
Last column: nearest neighbours and their distance in Å.
Space group Pm-3m (No. 221)
Unique sites:
1 Be 0.0000 0.0000 0.5000 x3  2 Re 2.16
2 Re 0.0000 0.0000 0.0000 x1  6 Be 2.16
3 Cl 0.5000 0.5000 0.5000 x1  12 Be 3.06

## Properties
The value obtained for the density of states at the Fermi level is 0.842 states/eV per atom. The value obtained for the total energy is -85.1 eV for the cell shown. The value obtained for the total magnetization is 0.0 μB/cell. Its formation energy (no corrections) is 1.4017 eV/atom.

11.
BeRh2Cl at its PBEsol-relaxed geometry. Source: the Alexandria database, functional meta-GGA SCAN.

a = 3.3852 Å, b = 2.8106 Å, c = 11.6435 Å
α = 90.00°, β = 90.00°, γ = 90.00°
Last column: nearest neighbours and their distance in Å.
Space group Amm2 (No. 38)
Unique sites:
1 Be 0.0000 0.0000 0.0000 x2  5 Rh 2.24-2.26
2 Rh 0.0000 0.0000 0.1927 x2  1 Be 2.24, 2 Cl 2.33
3 Rh 0.5000 0.0000 0.5454 x2  4 Be 2.26, 1 Cl 2.50
4 Cl 0.5000 0.0000 0.3305 x2  3 Rh 2.33-2.50

## Properties
The value obtained for the density of states at the Fermi level is 0.992 states/eV per atom. The value obtained for the total energy is -159.6 eV for the cell shown. The value obtained for the total magnetization is 0.0 μB/cell. Its formation energy (no corrections) is 0.0155 eV/atom.

12.
Be2RhCl at its PBEsol-relaxed geometry. Source: the Alexandria database, functional meta-GGA SCAN.

a = 3.1224 Å, b = 3.1224 Å, c = 10.5804 Å
α = 90.00°, β = 90.00°, γ = 90.00°
Last column: nearest neighbours and their distance in Å.
Space group I-4m2 (No. 119)
Unique sites:
1 Be 0.0000 0.0000 0.0000 x2  4 Cl 2.21
2 Be 0.0000 0.5000 0.2500 x2  4 Rh 2.21
3 Rh 0.0000 0.5000 0.7500 x2  4 Be 2.21
4 Cl 0.0000 0.0000 0.5000 x2  4 Be 2.21

## Properties
The value obtained for the density of states at the Fermi level is 0.162 states/eV per atom. The value obtained for the total energy is -99.3 eV for the cell shown. The value obtained for the total magnetization is 0.0 μB/cell. Its formation energy (no corrections) is 0.2022 eV/atom.